(1)
## Ac6SnPb3 (GGA-PBE)

Data for a relaxed Ac6SnPb3 crystal.

Cell lengths 4.841, 12.530, 14.186 Å; angles 104.62, 90.00, 90.00 degrees
Element x y z (fractional)
1 Ac 0.750 0.470 0.630
2 Ac 0.750 0.809 0.762
3 Ac 0.750 0.112 0.453
4 Ac 0.250 0.121 0.899
5 Ac 0.750 0.761 0.313
6 Ac 0.250 0.191 0.238
7 Ac 0.250 0.239 0.687
8 Ac 0.750 0.430 0.097
9 Ac 0.250 0.888 0.547
10 Ac 0.250 0.530 0.370
11 Ac 0.750 0.879 0.101
12 Ac 0.250 0.570 0.903
13 Sn 0.250 0.953 0.308
14 Sn 0.750 0.047 0.692
15 Pb 0.750 0.367 0.851
16 Pb 0.250 0.322 0.481
17 Pb 0.750 0.678 0.519
18 Pb 0.250 0.633 0.149
19 Pb 0.750 0.151 0.075
20 Pb 0.250 0.849 0.925

Its space group is P2_1/m (11). As for the formation energy: -0.40 eV/atom.

***

(2)
## CaHo3B (GGA-PBE)

Data for a relaxed CaHo3B crystal.

Cell lengths 5.199, 5.199, 5.199 Å; angles 90.00, 90.00, 90.00 degrees
Element x y z (fractional)
1 Ho 0.500 0.000 0.000
2 Ho 0.000 0.000 0.500
3 Ho 0.000 0.500 0.000
4 B 0.000 0.000 0.000
5 Ca 0.500 0.500 0.500

Its space group is Pm-3m (221). As for the formation energy: 0.05 eV/atom.

***

(3)
## CaYb3In2Ge4 (GGA-PBE)

Data for a relaxed CaYb3In2Ge4 crystal.

Cell lengths 7.370, 7.370, 4.364 Å; angles 90.00, 90.00, 90.25 degrees
Element x y z (fractional)
1 Ge 0.880 0.874 0.500
2 Ge 0.376 0.624 0.500
3 Ge 0.126 0.120 0.500
4 Ge 0.619 0.381 0.500
5 In 0.501 0.000 0.500
6 In 0.000 0.499 0.500
7 Yb 0.674 0.675 0.000
8 Yb 0.325 0.326 0.000
9 Yb 0.174 0.826 0.000
10 Ca 0.825 0.175 0.000

Its space group is Amm2 (38). As for the formation energy: -0.60 eV/atom.

***

(4)
## Er2PaN (GGA-PBE)

Data for a relaxed Er2PaN crystal.

Cell lengths 3.100, 3.100, 8.176 Å; angles 90.00, 90.00, 90.00 degrees
Element x y z (fractional)
1 Er 0.000 0.000 0.828
2 Er 0.000 0.000 0.172
3 N 0.500 0.500 0.000
4 Pa 0.500 0.500 0.500

Its space group is P4/mmm (123). Its energy above the most stable polymorph in this dataset is 0.403 eV/atom. Its raw formation energy is -0.20 eV/atom.

***

no.,total magnetization (μB per atom),DOS at the Fermi energy (states/eV/atom)
1,0.17,0.750
2,0.00,0.842
3,0.02,4.133
4,0.00,1.007